Entry 1:
## CsOs2PtO8 (PBE)

Data for CsOs2PtO8 after structural relaxation.

Output
Total magnetization = 1.032 μB per formula unit
SG = C2/m (12)
Mass density = 6.29 Mg/m³
E_form (uncorrected) = -893 meV per atom

Unit cell a=5.080 b=5.080 c=9.028 alpha=82.33 beta=82.33 gamma=74.04
Each line ends with the local moment (μB).
Fractional coordinates of all 12 atoms:
Pt (0.000, 0.000, 0.000)  -0.11
O (0.748, 0.748, 0.023)  0.04
O (0.672, 0.672, 0.375)  0.06
O (0.252, 0.252, 0.977)  0.04
O (0.269, 0.761, 0.819)  0.04
O (0.328, 0.328, 0.625)  0.06
O (0.761, 0.269, 0.819)  0.04
O (0.239, 0.731, 0.181)  0.04
O (0.731, 0.239, 0.181)  0.04
Cs (0.000, 0.000, 0.500)  0.00
Os (0.400, 0.400, 0.799)  0.34
Os (0.600, 0.600, 0.201)  0.34

---

Entry 2:
## I2Br (PBE)

Data for I2Br after structural relaxation.

Output
Total magnetization = 0.000 μB per formula unit
SG = Cm (8)
Energy relative to the lowest polymorph listed for this composition = 97 meV per atom
Mass density = 3.95 Mg/m³
E_form (uncorrected) = 59 meV per atom

Unit cell a=9.350 b=3.432 c=9.507 alpha=90.00 beta=113.09 gamma=90.00
Fractional coordinates of all 6 atoms:
I (0.344, 0.500, 0.643)
I (0.010, 0.000, 0.106)
I (0.344, 0.000, 0.143)
I (0.010, 0.500, 0.606)
Br (0.721, 0.500, 0.576)
Br (0.721, 0.000, 0.076)

---

Entry 3:
## ScPaTi2 (PBE)

Data for ScPaTi2 after structural relaxation.

Output
Total magnetization = 0.000 μB per formula unit
SG = P4/mmm (123)
Energy of formation = 0.4 eV per formula unit
Energy relative to the lowest polymorph listed for this composition = 0 meV per atom
Mass density = 7.38 Mg/m³

Unit cell a=3.562 b=3.562 c=6.587 alpha=90.00 beta=90.00 gamma=90.00
Fractional coordinates of all 4 atoms:
Ti (0.000, 0.000, 0.714)
Ti (0.000, 0.000, 0.286)
Pa (0.500, 0.500, 0.500)
Sc (0.500, 0.500, 0.000)

---

Entry 4:
## ZnGaSb2 (PBE)

Data for ZnGaSb2 after structural relaxation.

Output
Total magnetization = 0.000 μB per formula unit
SG = I-42d (122)
Energy relative to the lowest polymorph listed for this composition = 0 meV per atom
Mass density = 5.37 Mg/m³
E_form (uncorrected) = -30 meV per atom

Unit cell a=6.204 b=6.204 c=7.502 alpha=65.58 beta=65.58 gamma=90.00
Fractional coordinates of all 8 atoms:
Zn (0.500, 0.500, 0.000)
Zn (0.250, 0.750, 0.500)
Sb (0.621, 0.125, 0.250)
Sb (0.875, 0.871, 0.750)
Sb (0.129, 0.625, 0.250)
Sb (0.375, 0.379, 0.750)
Ga (0.000, 0.000, 0.000)
Ga (0.750, 0.250, 0.500)

---

> Look up the total magnetization of the first one.

1.032 μB per formula unit